No. 1
Density functional theory data (GGA-PBE) for crystalline Al3PdW at its relaxed geometry.

Geometry as extended XYZ:
```
5
Lattice="4.592 0.000 0.000 0.000 4.592 0.000 0.000 0.000 4.592" Properties=species:S:1:pos:R:3 pbc="T T T"
Pd 0.000 0.000 0.000
W 2.296 2.296 2.296
Al 0.000 2.296 0.000
Al 0.000 0.000 2.296
Al 2.296 0.000 0.000
```

DFT total energy in eV for the cell shown: -25.56
Offset from the most stable computed form in meV/atom: 0
Space group: Pm-3m

No. 2
Density functional theory data (GGA-PBE) for crystalline AlPd2W2 at its relaxed geometry.

Geometry as extended XYZ:
```
10
Lattice="-5.899 5.144 -0.521 -4.543 -5.535 -3.203 -0.876 -0.748 2.535" Properties=species:S:1:pos:R:3 pbc="T T T"
Pd -4.525 -3.209 -0.981
Pd -8.166 -1.480 -1.730
Pd -6.793 2.070 -0.207
Pd -3.152 0.341 0.541
W -6.275 -2.917 -3.029
W -8.013 1.131 -2.435
W -4.167 2.526 -0.694
W -2.430 -1.522 -1.289
Al 0.000 0.000 0.000
Al -5.221 -0.196 -1.862
```

DFT total energy in eV for the cell shown: -76.03
Offset from the most stable computed form in meV/atom: 0
Space group: P4/mbm

No. 3
Density functional theory data (GGA-PBE) for crystalline YAl2PdW at its relaxed geometry.

Geometry as extended XYZ:
```
5
Lattice="-3.761 -2.696 -0.316 -0.201 -0.328 5.195 -2.708 3.763 0.133" Properties=species:S:1:pos:R:3 pbc="T T T"
Y -0.100 -0.164 2.598
Pd 0.000 0.000 0.000
W -3.335 0.369 2.506
Al -1.354 1.881 0.066
Al -1.880 -1.348 -0.158
```

DFT total energy in eV for the cell shown: -28.95
Space group: P4/mmm

No. 4
Density functional theory data (GGA-PBE) for crystalline ZrAlPd2W at its relaxed geometry.

Geometry as extended XYZ:
```
5
Lattice="-4.075 -0.494 2.430 2.470 -1.236 3.891 0.227 4.581 1.311" Properties=species:S:1:pos:R:3 pbc="T T T"
Zr -0.689 1.426 3.816
Pd 0.113 2.291 0.656
Pd -2.038 -0.247 1.215
W 0.000 0.000 0.000
Al 1.235 -0.618 1.945
```

DFT total energy in eV for the cell shown: -31.56
Space group: P4/mmm

| no. | spin magnetization (μB per cell) | energy of formation from the pure elements (eV per atom) | density of states at the Fermi level (states/eV per cell) |
| --- | --- | --- | --- |
| 1 | 2.25 | 0.7634 | 2.715 |
| 2 | 0.00 | 0.4034 | 7.271 |
| 3 | 2.22 | 0.6299 | 5.138 |
| 4 | 0.00 | 0.8148 | 3.825 |